1.
P2IrCO | PBEsol | optimized geometry

Calculated values
Energy relative to the elements, uncorrected, eV per atom: 1.486

Unit cell a=4.6420 b=4.6420 c=3.6177 alpha=90.00 beta=90.00 gamma=90.00
Space group P4/mmm (No. 123)
Inequivalent atoms, fractional coordinates:
P: 0.0000 0.5000 0.0000 x2
Ir: 0.0000 0.0000 0.0000 x1
C: 0.5000 0.5000 0.5000 x1
O: 0.0000 0.0000 0.5000 x1

2.
CdAs3 | PBEsol | optimized geometry

Calculated values
ΔE to the lowest computed polymorph, meV per atom: 217
ΔH_f (0 K), eV per atom: 0.25

Unit cell a=3.8848 b=3.8848 c=21.8998 alpha=90.00 beta=90.00 gamma=90.00
Space group I4/mmm (No. 139)
Inequivalent atoms, fractional coordinates:
Cd: 0.0000 0.0000 0.1438 x4
As: 0.0000 0.0000 0.4087 x4
As: 0.0000 0.5000 0.0000 x4
As: 0.0000 0.5000 0.2500 x4

3.
BaRhSe2N | PBEsol | optimized geometry

Calculated values
Energy relative to the elements, uncorrected, eV per atom: -0.517
ΔE to the lowest computed polymorph, meV per atom: 0

Unit cell a=5.3189 b=5.3189 c=3.7058 alpha=90.00 beta=90.00 gamma=90.00
Space group P4/mmm (No. 123)
Inequivalent atoms, fractional coordinates:
Ba: 0.0000 0.0000 0.0000 x1
Rh: 0.5000 0.5000 0.5000 x1
Se: 0.0000 0.5000 0.5000 x2
N: 0.5000 0.5000 0.0000 x1

4.
ScBe | PBEsol | optimized geometry

Calculated values
ΔH_f (0 K), eV per atom: 1.02

Unit cell a=4.4226 b=4.4226 c=5.1996 alpha=90.00 beta=90.00 gamma=120.00
Space group P6_3/mmc (No. 194)
Inequivalent atoms, fractional coordinates:
Sc: 0.3333 0.6667 0.2500 x2
Be: 0.3333 0.6667 0.7500 x2

5.
LaMg2Ni9 | PBEsol | optimized geometry

Calculated values
ΔH_f (0 K), eV per atom: -0.23

Unit cell a=4.8169 b=4.8169 c=23.3748 alpha=90.00 beta=90.00 gamma=120.00
Space group R-3m (No. 166, hexagonal axes)
Inequivalent atoms, fractional coordinates:
La: 0.0000 0.0000 0.0000 x3
Mg: 0.0000 0.0000 0.1447 x6
Ni: 0.0000 0.0000 0.3334 x6
Ni: 0.0000 0.0000 0.5000 x3
Ni: 0.0025 0.5012 0.9144 x18

6.
KBaSc2 | PBEsol | optimized geometry

Calculated values
ΔE to the lowest computed polymorph, meV per atom: 0
ΔH_f (0 K), eV per atom: 0.61

Unit cell a=3.6695 b=5.8850 c=12.5381 alpha=90.00 beta=90.00 gamma=90.00
Space group Immm (No. 71)
Inequivalent atoms, fractional coordinates:
K: 0.0000 0.0000 0.0000 x2
Ba: 0.0000 0.0000 0.5000 x2
Sc: 0.0000 0.5000 0.2458 x4

7.
Cu3Pt2 | PBEsol | optimized geometry

Calculated values
ΔE to the lowest computed polymorph, meV per atom: 12
ΔH_f (0 K), eV per atom: -0.10

Unit cell a=6.4514 b=2.6991 c=7.6594 alpha=90.00 beta=104.18 gamma=90.00
Space group P2/m (No. 10)
Inequivalent atoms, fractional coordinates:
Cu: 0.0979 0.0000 0.3073 x2
Cu: 0.1921 0.5000 0.5893 x2
Cu: 0.3924 0.5000 0.2018 x2
Pt: 0.0000 0.5000 0.0000 x1
Pt: 0.3011 0.0000 0.8870 x2
Pt: 0.5000 0.0000 0.5000 x1

8.
Na3SbIr | PBEsol | optimized geometry

Calculated values
Energy relative to the elements, uncorrected, eV per atom: 1.154

Unit cell a=5.6858 b=5.6858 c=5.6858 alpha=90.00 beta=90.00 gamma=90.00
Space group Pm-3m (No. 221)
Inequivalent atoms, fractional coordinates:
Na: 0.0000 0.0000 0.5000 x3
Sb: 0.0000 0.0000 0.0000 x1
Ir: 0.5000 0.5000 0.5000 x1

9.
BaInTe | PBEsol | optimized geometry

Calculated values
Energy relative to the elements, uncorrected, eV per atom: -0.462

Unit cell a=7.8697 b=7.8697 c=7.8697 alpha=90.00 beta=90.00 gamma=90.00
Space group F-43m (No. 216)
Inequivalent atoms, fractional coordinates:
Ba: 0.0000 0.0000 0.0000 x4
In: 0.2500 0.2500 0.2500 x4
Te: 0.2500 0.2500 0.7500 x4

10.
FeTc2Hg | PBEsol | optimized geometry

Calculated values
ΔH_f (0 K), eV per atom: 0.48

Unit cell a=3.7630 b=3.7630 c=8.1461 alpha=90.00 beta=90.00 gamma=90.00
Space group I4/mmm (No. 139)
Inequivalent atoms, fractional coordinates:
Fe: 0.0000 0.0000 0.0000 x2
Tc: 0.0000 0.5000 0.2500 x4
Hg: 0.0000 0.0000 0.5000 x2

11.
ScWCl2 | PBEsol | optimized geometry

Calculated values
Energy relative to the elements, uncorrected, eV per atom: -0.118
ΔE to the lowest computed polymorph, meV per atom: 0

Unit cell a=3.4798 b=4.0638 c=4.8648 alpha=90.00 beta=90.15 gamma=90.00
Space group P2/m (No. 10)
Inequivalent atoms, fractional coordinates:
Sc: 0.0000 0.0000 0.0000 x1
W: 0.5000 0.0000 0.5000 x1
Cl: 0.2827 0.5000 0.7325 x2

12.
ReBi3As | PBEsol | optimized geometry

Calculated values
ΔH_f (0 K), eV per atom: 0.85

Unit cell a=5.2208 b=5.2208 c=5.2208 alpha=90.00 beta=90.00 gamma=90.00
Space group Pm-3m (No. 221)
Inequivalent atoms, fractional coordinates:
Re: 0.0000 0.0000 0.0000 x1
Bi: 0.0000 0.0000 0.5000 x3
As: 0.5000 0.5000 0.5000 x1

13.
KZr3Zn | PBEsol | optimized geometry

Calculated values
ΔH_f (0 K), eV per atom: 0.95

Unit cell a=5.1192 b=5.1192 c=5.1192 alpha=90.00 beta=90.00 gamma=90.00
Space group Pm-3m (No. 221)
Inequivalent atoms, fractional coordinates:
K: 0.0000 0.0000 0.0000 x1
Zr: 0.0000 0.5000 0.5000 x3
Zn: 0.5000 0.5000 0.5000 x1

14.
LiGe | PBEsol | optimized geometry

Calculated values
ΔH_f (0 K), eV per atom: -0.31

Unit cell a=4.0160 b=4.0160 c=22.8564 alpha=90.00 beta=90.00 gamma=90.00
Space group I4_1/amd (No. 141, origin choice 2)
Inequivalent atoms, fractional coordinates:
Li: 0.0000 0.2500 0.0382 x8
Li: 0.0000 0.2500 0.8750 x4
Ge: 0.0000 0.2500 0.2030 x8
Ge: 0.0000 0.2500 0.3750 x4

15.
BaNiBr2 | PBEsol | optimized geometry

Calculated values
Energy relative to the elements, uncorrected, eV per atom: -0.452
ΔE to the lowest computed polymorph, meV per atom: 0

Unit cell a=3.9325 b=3.9325 c=6.8141 alpha=90.00 beta=90.00 gamma=90.00
Space group P4/mmm (No. 123)
Inequivalent atoms, fractional coordinates:
Ba: 0.0000 0.0000 0.0000 x1
Ni: 0.0000 0.0000 0.5000 x1
Br: 0.5000 0.5000 0.2602 x2

16.
SrCrIrRh2 | PBEsol | optimized geometry

Calculated values
ΔH_f (0 K), eV per atom: 0.72

Unit cell a=4.8381 b=4.8381 c=4.5367 alpha=90.00 beta=90.00 gamma=90.00
Space group P4/mmm (No. 123)
Inequivalent atoms, fractional coordinates:
Sr: 0.0000 0.0000 0.0000 x1
Cr: 0.5000 0.5000 0.0000 x1
Ir: 0.5000 0.5000 0.5000 x1
Rh: 0.0000 0.5000 0.5000 x2

17.
Y2TaMo | PBEsol | optimized geometry

Calculated values
ΔH_f (0 K), eV per atom: 0.24

Unit cell a=3.4842 b=5.0975 c=10.1030 alpha=90.00 beta=90.00 gamma=90.00
Space group Imm2 (No. 44)
Inequivalent atoms, fractional coordinates:
Y: 0.0000 0.0000 0.0000 x2
Y: 0.0000 0.5000 0.2205 x2
Ta: 0.0000 0.0000 0.4357 x2
Mo: 0.0000 0.5000 0.7581 x2

18.
AlH12Cl3O6 | PBEsol | optimized geometry

Unit cell a=11.6133 b=11.6133 c=12.2015 alpha=90.00 beta=90.00 gamma=120.00
Space group R-3c (No. 167, hexagonal axes)
Inequivalent atoms, fractional coordinates:
Al: 0.0000 0.0000 0.0000 x6
H: 0.0025 0.2063 0.4126 x36
H: 0.0693 0.1865 0.6434 x36
Cl: 0.0000 0.2658 0.7500 x18
O: 0.0418 0.1483 0.0891 x36

19.
Mg2ScCr | PBEsol | optimized geometry

Calculated values
ΔE to the lowest computed polymorph, meV per atom: 0
ΔH_f (0 K), eV per atom: 0.29

Unit cell a=4.2070 b=4.2070 c=8.9223 alpha=90.00 beta=90.00 gamma=90.00
Space group I4/mmm (No. 139)
Inequivalent atoms, fractional coordinates:
Mg: 0.0000 0.5000 0.2500 x4
Sc: 0.0000 0.0000 0.0000 x2
Cr: 0.0000 0.0000 0.5000 x2

20.
Sr2CrFe | PBEsol | optimized geometry

Calculated values
ΔH_f (0 K), eV per atom: 0.66

Unit cell a=3.3571 b=3.3571 c=9.0213 alpha=90.00 beta=90.00 gamma=90.00
Space group P4mm (No. 99)
Inequivalent atoms, fractional coordinates:
Sr: 0.0000 0.0000 0.0000 x1
Sr: 0.5000 0.5000 0.3963 x1
Cr: 0.0000 0.0000 0.6690 x1
Fe: 0.5000 0.5000 0.7318 x1

21.
ZrTcHg2 | PBEsol | optimized geometry

Calculated values
ΔE to the lowest computed polymorph, meV per atom: 190
ΔH_f (0 K), eV per atom: 0.28

Unit cell a=2.9719 b=2.9719 c=29.1559 alpha=90.00 beta=90.00 gamma=120.00
Space group R-3m (No. 166, hexagonal axes)
Inequivalent atoms, fractional coordinates:
Zr: 0.0000 0.0000 0.0000 x3
Tc: 0.0000 0.0000 0.5000 x3
Hg: 0.0000 0.0000 0.2457 x6

22.
SrTcSe | PBEsol | optimized geometry

Calculated values
Energy relative to the elements, uncorrected, eV per atom: 1.076

Unit cell a=7.0168 b=7.0168 c=7.0168 alpha=90.00 beta=90.00 gamma=90.00
Space group F-43m (No. 216)
Inequivalent atoms, fractional coordinates:
Sr: 0.0000 0.0000 0.0000 x4
Tc: 0.2500 0.2500 0.2500 x4
Se: 0.2500 0.2500 0.7500 x4

23.
CuRh2W | PBEsol | optimized geometry

Calculated values
ΔE to the lowest computed polymorph, meV per atom: 17
ΔH_f (0 K), eV per atom: -0.14

Unit cell a=2.7420 b=3.6180 c=5.4550 alpha=90.00 beta=90.00 gamma=90.00
Space group Pmmm (No. 47)
Inequivalent atoms, fractional coordinates:
Cu: 0.0000 0.0000 0.0000 x1
Rh: 0.5000 0.5000 0.2434 x2
W: 0.0000 0.0000 0.5000 x1

24.
Li2LaMg | PBEsol | optimized geometry

Calculated values
ΔH_f (0 K), eV per atom: 0.06

Unit cell a=3.4591 b=3.4591 c=7.8777 alpha=90.00 beta=90.00 gamma=90.00
Space group P4/mmm (No. 123)
Inequivalent atoms, fractional coordinates:
Li: 0.0000 0.0000 0.2062 x2
La: 0.5000 0.5000 0.5000 x1
Mg: 0.5000 0.5000 0.0000 x1

25.
Hf3CrPd | PBEsol | optimized geometry

Calculated values
ΔH_f (0 K), eV per atom: 0.57

Unit cell a=4.6605 b=4.6605 c=4.6605 alpha=90.00 beta=90.00 gamma=90.00
Space group Pm-3m (No. 221)
Inequivalent atoms, fractional coordinates:
Hf: 0.0000 0.0000 0.5000 x3
Cr: 0.0000 0.0000 0.0000 x1
Pd: 0.5000 0.5000 0.5000 x1

26.
TlIn2Br | PBEsol | optimized geometry

Calculated values
Energy relative to the elements, uncorrected, eV per atom: -0.203
ΔE to the lowest computed polymorph, meV per atom: 0

Unit cell a=3.5526 b=5.4668 c=11.1552 alpha=90.00 beta=90.00 gamma=90.00
Space group Immm (No. 71)
Inequivalent atoms, fractional coordinates:
Tl: 0.0000 0.0000 0.0000 x2
In: 0.0000 0.5000 0.2490 x4
Br: 0.0000 0.0000 0.5000 x2

| no. | uncorrected energy (eV per atom) | M_tot (μB per formula unit) |
| --- | --- | --- |
| 1 | -5.774 | 0.00 |
| 2 | -3.878 | 0.00 |
| 3 | -5.820 | 0.00 |
| 4 | -4.280 | 0.00 |
| 5 | -5.584 | 0.42 |
| 6 | -3.516 | 0.00 |
| 7 | -5.488 | 0.00 |
| 8 | -2.562 | 3.03 |
| 9 | -3.348 | 0.00 |
| 10 | -7.532 | 1.64 |
| 11 | -6.225 | 0.00 |
| 12 | -5.414 | 0.00 |
| 13 | -5.044 | 0.00 |
| 14 | -3.758 | 0.00 |
| 15 | -3.464 | 1.00 |
| 16 | -6.916 | 2.93 |
| 17 | -9.252 | 0.00 |
| 18 | -4.932 | 0.00 |
| 19 | -4.785 | 3.08 |
| 20 | -5.057 | 0.80 |
| 21 | -5.091 | 0.01 |
| 22 | -4.576 | 3.95 |
| 23 | -8.740 | 0.00 |
| 24 | -2.693 | 0.00 |
| 25 | -8.970 | 0.00 |
| 26 | -2.820 | 0.00 |